! CaCr2GaO8 | Alexandria | PBE with a Hubbard U | optimized geometry; values from VASP
&SYSTEM
  ibrav = 0, nat = 12, ntyp = 4
/
ATOMIC_SPECIES
Ca 40.08 Ca.upf
Cr 52.00 Cr.upf
Ga 69.72 Ga.upf
O 16.00 O.upf
ATOMIC_POSITIONS crystal
Ca 0.2500 0.7500 0.5000
Cr 0.7500 0.2500 0.5000
Cr 0.5000 0.5000 0.0000
Ga 0.0000 0.0000 0.0000
O 0.3988 0.0861 0.3127
O 0.3059 0.4817 0.1758
O 0.3059 0.1301 0.8242
O 0.7735 0.0861 0.6873
O 0.8699 0.6941 0.1758
O 0.9139 0.2265 0.3127
O 0.9139 0.6012 0.6873
O 0.5183 0.6941 0.8242
CELL_PARAMETERS angstrom
-2.1008 -4.7761 -2.7576
5.5385 -0.0664 2.0369
-3.3757 0.5835 4.8055
! total DFT energy (no corrections) = -6.494 eV per atom